A relaxed Zn3Co5 crystal, computed with GGA-PBE.

Calculated values
Fermi-level density of states = 1.18 states/eV per atom
energy above the most stable polymorph in this dataset = 0.076 eV per atom
formation enthalpy at 0 K = 132 meV/atom
total moment = 7.5 μB/f.u.

Cell: 6.8882 6.8882 4.5678 Å, 108.09 108.09 84.60°
Atoms (fractional coordinates):
Zn  0.0159  0.9841  0.7500
Zn  0.1455  0.5002  0.3529
Zn  0.5002  0.1455  0.8529
Zn  0.4998  0.8545  0.1471
Zn  0.8545  0.4998  0.6471
Zn  0.9841  0.0159  0.2500
Co  0.1752  0.6863  0.9574
Co  0.1758  0.3136  0.7772
Co  0.3136  0.1758  0.2772
Co  0.3137  0.8248  0.5426
Co  0.4995  0.5005  0.2500
Co  0.5005  0.4995  0.7500
Co  0.6863  0.1752  0.4574
Co  0.6864  0.8242  0.7228
Co  0.8242  0.6864  0.2228
Co  0.8248  0.3137  0.0426

---

A relaxed KPN3 crystal, computed with GGA-PBE.

Calculated values
Fermi-level density of states = 0.46 states/eV per atom
total moment = 5.0 μB/f.u.
uncorrected formation energy = 3305 meV/atom

Cell: 4.7873 4.7873 4.7873 Å, 90.00 90.00 90.00°
Atoms (fractional coordinates):
K  0.0000  0.0000  0.0000
P  0.5000  0.5000  0.5000
N  0.0000  0.0000  0.5000
N  0.0000  0.5000  0.0000
N  0.5000  0.0000  0.0000

---

A relaxed Li2Ga5AgPd2 crystal, computed with GGA-PBE.

Calculated values
Fermi-level density of states = 0.34 states/eV per atom
formation enthalpy at 0 K = -348 meV/atom
total moment = 0.0 μB/f.u.

Cell: 8.9040 8.9040 4.1967 Å, 90.00 90.00 90.00°
Atoms (fractional coordinates):
Li  0.1751  0.3249  0.0000
Li  0.3249  0.8249  0.0000
Li  0.6751  0.1751  0.0000
Li  0.8249  0.6751  0.0000
Ga  0.0000  0.5000  0.5000
Ga  0.0782  0.8010  0.5000
Ga  0.1990  0.0782  0.5000
Ga  0.3010  0.5782  0.5000
Ga  0.4218  0.3010  0.5000
Ga  0.5000  0.0000  0.5000
Ga  0.5782  0.6990  0.5000
Ga  0.6990  0.4218  0.5000
Ga  0.8010  0.9218  0.5000
Ga  0.9218  0.1990  0.5000
Ag  0.0000  0.0000  0.0000
Ag  0.5000  0.5000  0.0000
Pd  0.1193  0.6193  0.0000
Pd  0.3807  0.1193  0.0000
Pd  0.6193  0.8807  0.0000
Pd  0.8807  0.3807  0.0000